1.
The following is a PBE calculation of a geometry-optimized Ba2AcPmS4 structure, from the Alexandria database.

Lattice parameters (Å, degrees): 4.3144 7.4618 7.6363 108.99 90.00 90.00
Closest atoms and distances in Å follow each position.
Sites, in units of the cell vectors:
Ba1 0.5000 0.0000 0.5000  6 S 3.15
Ba2 0.0000 0.5000 0.5000  6 S 3.23
Ac1 0.5000 0.5000 0.0000  6 S 3.01
Pm1 0.0000 0.0000 0.0000  6 S 2.91-2.93
S1 0.5000 0.2316 0.2215  2 Pm 2.93, 1 Ac 3.01, 3 Ba 3.15-3.23
S2 0.5000 0.7684 0.7785  2 Pm 2.93, 1 Ac 3.01, 3 Ba 3.15-3.23
S3 0.0000 0.2477 0.7733  1 Pm 2.91, 2 Ac 3.01, 3 Ba 3.15-3.23
S4 0.0000 0.7523 0.2267  1 Pm 2.91, 2 Ac 3.01, 3 Ba 3.15-3.23

Values from the calculation:
Raw formation energy: -2.0244 eV per atom
Total energy: -45.4 eV for the cell shown
Space group: P2/m (10)
Theoretical density: 5.5 g cm⁻³



2.
The following is a PBE calculation of a geometry-optimized Hf2Sb3 structure, from the Alexandria database.

Lattice parameters (Å, degrees): 3.8567 3.8567 10.3244 79.24 79.24 60.00
Closest atoms and distances in Å follow each position.
Sites, in units of the cell vectors:
Hf1 0.3948 0.3948 0.8155  6 Sb 2.90-2.92
Hf2 0.6052 0.6052 0.1845  6 Sb 2.90-2.92
Sb1 0.0000 0.0000 0.0000  6 Hf 2.90
Sb2 0.7906 0.7906 0.6282  3 Hf 2.92
Sb3 0.2094 0.2094 0.3718  3 Hf 2.92

Values from the calculation:
Raw formation energy: -0.2269 eV per atom
Total energy: -33.4 eV for the cell shown
Space group: R-3m (166)
Theoretical density: 9.2 g cm⁻³



3.
The following is a PBE calculation of a geometry-optimized KZr2Sc structure, from the Alexandria database.

Lattice parameters (Å, degrees): 6.2951 6.2951 3.0192 90.00 90.00 117.31
Closest atoms and distances in Å follow each position.
Sites, in units of the cell vectors:
K1 0.5000 0.0000 0.5000  2 K 3.02, 2 Sc 3.27
Sc1 0.0000 0.5000 0.5000  2 Sc 3.02, 2 K 3.27
Zr1 0.0000 0.0000 0.0000  4 Zr 3.02-3.27
Zr2 0.5000 0.5000 0.0000  4 Zr 3.02-3.27

Values from the calculation:
Total energy: -21.4 eV for the cell shown
Energy relative to the lowest polymorph listed for this composition: 0.4398 eV/atom
Space group: Cmmm (65)
Energy relative to the elements: 769.4 meV/atom
Theoretical density: 4.2 g cm⁻³



4.
The following is a PBE calculation of a geometry-optimized YPbAu3 structure, from the Alexandria database.

Lattice parameters (Å, degrees): 5.3975 5.3975 5.3975 90.00 90.00 90.00
Closest atoms and distances in Å follow each position.
Sites, in units of the cell vectors:
Pb1 0.5000 0.5000 0.5000  12 Au 3.82
Y1 0.0000 0.0000 0.0000  6 Au 2.70
Au1 0.0000 0.5000 0.0000  2 Y 2.70
Au2 0.0000 0.0000 0.5000  2 Y 2.70
Au3 0.5000 0.0000 0.0000  2 Y 2.70

Values from the calculation:
Total energy: -18.6 eV for the cell shown
Energy relative to the lowest polymorph listed for this composition: 0.0000 eV/atom
Space group: Pm-3m (221)
Energy relative to the elements: 289.8 meV/atom
Theoretical density: 9.4 g cm⁻³



5.
The following is a PBE calculation of a geometry-optimized NaPrTlGa structure, from the Alexandria database.

Lattice parameters (Å, degrees): 5.3071 5.3071 5.3071 60.00 60.00 60.00
Closest atoms and distances in Å follow each position.
Sites, in units of the cell vectors:
Pr1 0.0000 0.0000 0.0000  4 Ga 3.25, 4 Tl 3.25
Na1 0.5000 0.5000 0.5000  4 Tl 3.25, 4 Ga 3.25
Tl1 0.7500 0.7500 0.7500  4 Pr 3.25, 4 Na 3.25
Ga1 0.2500 0.2500 0.2500  4 Na 3.25, 4 Pr 3.25

Values from the calculation:
Total energy: -12.6 eV for the cell shown
Space group: F-43m (216)
Energy relative to the elements: -266.7 meV/atom
Theoretical density: 6.9 g cm⁻³



6.
The following is a PBE calculation of a geometry-optimized Ac2AsH structure, from the Alexandria database.

Lattice parameters (Å, degrees): 4.3135 4.3135 7.3276 72.88 72.88 60.00
Closest atoms and distances in Å follow each position.
Sites, in units of the cell vectors:
H1 0.0000 0.0000 0.0000  6 Ac 2.97
Ac1 0.2550 0.2550 0.2351  3 H 2.97, 3 As 3.09
Ac2 0.7450 0.7450 0.7649  3 H 2.97, 3 As 3.09
As1 0.5000 0.5000 0.5000  6 Ac 3.09

Values from the calculation:
Total energy: -19.5 eV for the cell shown
Energy relative to the lowest polymorph listed for this composition: 0.0000 eV/atom
Space group: R-3m (166)
Theoretical density: 7.9 g cm⁻³



7.
The following is a PBE calculation of a geometry-optimized TcP2Au structure, from the Alexandria database.

Lattice parameters (Å, degrees): 4.3378 2.5956 6.2993 114.22 90.00 90.00
Closest atoms and distances in Å follow each position.
Sites, in units of the cell vectors:
Au1 0.5000 0.7500 0.7500  2 Au 2.60, 4 P 2.74, 2 Tc 2.87
P1 0.0000 0.0423 0.0405  3 P 2.41-2.60, 2 Tc 2.48
P2 0.0000 0.4577 0.4595  3 P 2.41-2.60, 2 Tc 2.48
Tc1 0.5000 0.2500 0.2500  4 P 2.48, 2 Tc 2.60

Values from the calculation:
Total energy: -23.3 eV for the cell shown
Energy relative to the lowest polymorph listed for this composition: 0.4538 eV/atom
Space group: P2/m (10)
Energy relative to the elements: 301.2 meV/atom
Theoretical density: 9.2 g cm⁻³



8.
The following is a PBE calculation of a geometry-optimized Mg2POs structure, from the Alexandria database.

Lattice parameters (Å, degrees): 3.3983 3.4039 5.3241 90.00 90.00 90.00
Closest atoms and distances in Å follow each position.
Sites, in units of the cell vectors:
Mg1 0.0000 0.0000 0.0033  2 Mg 2.63-2.70, 4 Os 2.74, 4 P 2.76
Mg2 0.0000 0.0000 0.4967  2 Mg 2.63-2.70, 4 Os 2.74, 4 P 2.76
Os1 0.5000 0.5000 0.2500  2 P 2.66, 8 Mg 2.74
P1 0.5000 0.5000 0.7500  2 Os 2.66, 8 Mg 2.76

Values from the calculation:
Total energy: -19.6 eV for the cell shown
Space group: P4/mmm (123)
Energy relative to the elements: 55.1 meV/atom
Theoretical density: 7.3 g cm⁻³